# 1
Here is a geometry-optimized AgMoAu2 structure from the Alexandria database. Energies are from PBE.

Cell lengths 9.4330, 2.7720, 5.3463 Å; angles 90.00, 97.25, 90.00 degrees
Last column: nearest neighbours and their distance in Å.
Space group C2/m (No. 12)
Symmetry-distinct sites (fractional):
Ag (0.0000, 0.0000, 0.0000)  2 Ag 2.77, 6 Au 2.84-2.96, 4 Mo 3.01
Mo (0.0000, 0.5000, 0.5000)  2 Mo 2.77, 6 Au 2.87, 4 Ag 3.01
Au (0.2457, 0.0000, 0.7422)  6 Au 2.77-3.08, 3 Ag 2.84-2.96, 3 Mo 2.87

Crystal system: monoclinic
Mass density in Mg/m³: 14.3
Total magnetic moment in μB per formula unit: 0.0
Excess energy over the best structure of this formula in the dataset in eV/atom: 0.2121

# 2
Here is a geometry-optimized Ag2MoAu structure from the Alexandria database. Energies are from PBE.

Cell lengths 2.7734, 4.9902, 5.0788 Å; angles 90.00, 90.00, 90.00 degrees
Last column: nearest neighbours and their distance in Å.
Space group Pmmm (No. 47)
Symmetry-distinct sites (fractional):
Ag (0.0000, 0.0000, 0.0000)  6 Ag 2.77-2.85, 4 Au 2.89
Ag (0.5000, 0.5000, 0.0000)  6 Ag 2.77-2.85, 4 Mo 2.89
Mo (0.0000, 0.5000, 0.5000)  2 Mo 2.77, 4 Au 2.85, 4 Ag 2.89
Au (0.5000, 0.0000, 0.5000)  2 Au 2.77, 4 Mo 2.85, 4 Ag 2.89

Crystal system: orthorhombic
Mass density in Mg/m³: 12.0
Total magnetic moment in μB per formula unit: 0.5
Excess energy over the best structure of this formula in the dataset in eV/atom: 0.1803

# 3
Here is a geometry-optimized AgMoAu2 structure from the Alexandria database. Energies are from PBE.

Cell lengths 2.8200, 2.8200, 8.6638 Å; angles 90.00, 90.00, 90.00 degrees
Last column: nearest neighbours and their distance in Å.
Space group P4mm (No. 99)
Symmetry-distinct sites (fractional):
Ag (0.0000, 0.0000, 0.0000)  4 Ag 2.82, 4 Mo 2.93, 4 Au 2.97
Mo (0.5000, 0.5000, 0.7526)  4 Mo 2.82, 4 Au 2.87, 4 Ag 2.93
Au (0.0000, 0.0000, 0.5147)  8 Au 2.82-3.01, 4 Mo 2.87
Au (0.5000, 0.5000, 0.2538)  8 Au 2.82-3.01, 4 Ag 2.97

Crystal system: tetragonal
Mass density in Mg/m³: 14.4
Total magnetic moment in μB per formula unit: 0.0
Excess energy over the best structure of this formula in the dataset in eV/atom: 0.0830

# 4
Here is a geometry-optimized AgMoAu2 structure from the Alexandria database. Energies are from PBE.

Cell lengths 6.3494, 7.9125, 2.7772 Å; angles 90.00, 90.00, 90.00 degrees
Last column: nearest neighbours and their distance in Å.
Space group Cmmm (No. 65)
Symmetry-distinct sites (fractional):
Ag (0.0000, 0.0000, 0.0000)  2 Ag 2.78, 8 Au 2.89
Mo (0.0000, 0.5000, 0.0000)  2 Mo 2.78, 8 Au 2.89
Au (0.2500, 0.2500, 0.5000)  2 Au 2.78, 4 Mo 2.89, 4 Ag 2.89

Crystal system: orthorhombic
Mass density in Mg/m³: 14.2
Total magnetic moment in μB per formula unit: 0.7
Excess energy over the best structure of this formula in the dataset in eV/atom: 0.1441

# 5
Here is a geometry-optimized AgMoAu2 structure from the Alexandria database. Energies are from PBE.

Cell lengths 2.9175, 2.9175, 28.1911 Å; angles 90.00, 90.00, 120.00 degrees
Last column: nearest neighbours and their distance in Å.
Space group R-3m (No. 166, hexagonal axes)
Symmetry-distinct sites (fractional):
Ag (0.0000, 0.0000, 0.0000)  6 Ag 2.92, 6 Au 2.94
Mo (0.0000, 0.0000, 0.5000)  6 Au 2.84, 6 Mo 2.92
Au (0.0000, 0.0000, 0.2478)  3 Mo 2.84, 6 Au 2.92, 3 Ag 2.94

Crystal system: trigonal
Mass density in Mg/m³: 14.3
Total magnetic moment in μB per formula unit: 0.0
Excess energy over the best structure of this formula in the dataset in eV/atom: 0.0831

# 6
Here is a geometry-optimized AgMoAu2 structure from the Alexandria database. Energies are from PBE.

Cell lengths 6.5265, 6.5265, 6.5265 Å; angles 90.00, 90.00, 90.00 degrees
Last column: nearest neighbours and their distance in Å.
Space group F-43m (No. 216)
Symmetry-distinct sites (fractional):
Ag (0.0000, 0.0000, 0.0000)  4 Mo 2.83, 4 Au 2.83
Mo (0.2500, 0.2500, 0.2500)  4 Ag 2.83, 4 Au 2.83
Au (0.0000, 0.0000, 0.5000)  4 Mo 2.83, 4 Au 2.83
Au (0.2500, 0.2500, 0.7500)  4 Ag 2.83, 4 Au 2.83

Crystal system: cubic
Mass density in Mg/m³: 14.3
Total magnetic moment in μB per formula unit: 0.9
Excess energy over the best structure of this formula in the dataset in eV/atom: 0.3591

# 7
Here is a geometry-optimized AgMoAu2 structure from the Alexandria database. Energies are from PBE.

Cell lengths 2.7962, 5.0973, 10.0102 Å; angles 90.00, 90.00, 90.00 degrees
Last column: nearest neighbours and their distance in Å.
Space group Immm (No. 71)
Symmetry-distinct sites (fractional):
Ag (0.0000, 0.0000, 0.0000)  2 Ag 2.80, 4 Mo 2.91, 4 Au 2.92
Mo (0.0000, 0.0000, 0.5000)  2 Mo 2.80, 4 Au 2.81, 4 Ag 2.91
Au (0.0000, 0.5000, 0.2435)  6 Au 2.80-2.91, 2 Mo 2.81, 2 Ag 2.92

Crystal system: orthorhombic
Mass density in Mg/m³: 13.9
Total magnetic moment in μB per formula unit: 1.2
Excess energy over the best structure of this formula in the dataset in eV/atom: 0.3128

# 8
Here is a geometry-optimized AgMoAu2 structure from the Alexandria database. Energies are from PBE.

Cell lengths 2.8370, 2.8370, 8.5298 Å; angles 90.00, 90.00, 90.00 degrees
Last column: nearest neighbours and their distance in Å.
Space group P4/mmm (No. 123)
Symmetry-distinct sites (fractional):
Ag (0.0000, 0.0000, 0.0000)  4 Ag 2.84, 8 Au 2.99
Mo (0.0000, 0.0000, 0.5000)  4 Mo 2.84, 8 Au 2.87
Au (0.5000, 0.5000, 0.2595)  4 Au 2.84, 4 Mo 2.87, 4 Ag 2.99

Crystal system: tetragonal
Mass density in Mg/m³: 14.5
Total magnetic moment in μB per formula unit: 0.0
Excess energy over the best structure of this formula in the dataset in eV/atom: 0.0000

# 9
Here is a geometry-optimized Ag2MoAu structure from the Alexandria database. Energies are from PBE.

Cell lengths 6.5268, 6.5268, 6.5268 Å; angles 90.00, 90.00, 90.00 degrees
Last column: nearest neighbours and their distance in Å.
Space group F-43m (No. 216)
Symmetry-distinct sites (fractional):
Ag (0.0000, 0.0000, 0.0000)  4 Ag 2.83, 4 Au 2.83
Ag (0.2500, 0.2500, 0.2500)  4 Mo 2.83, 4 Ag 2.83
Mo (0.0000, 0.0000, 0.5000)  4 Au 2.83, 4 Ag 2.83
Au (0.2500, 0.2500, 0.7500)  4 Mo 2.83, 4 Ag 2.83

Crystal system: cubic
Mass density in Mg/m³: 12.2
Total magnetic moment in μB per formula unit: 0.8
Excess energy over the best structure of this formula in the dataset in eV/atom: 0.3061

# 10
Here is a geometry-optimized AgMoAu2 structure from the Alexandria database. Energies are from PBE.

Cell lengths 2.7644, 4.2252, 5.9385 Å; angles 90.00, 90.00, 90.00 degrees
Last column: nearest neighbours and their distance in Å.
Space group Pmm2 (No. 25)
Symmetry-distinct sites (fractional):
Ag (0.0000, 0.0000, 0.0000)  2 Ag 2.76, 5 Au 2.84-2.90, 4 Mo 2.97
Mo (0.5000, 0.5000, 0.7364)  2 Mo 2.76, 6 Au 2.83-2.99, 4 Ag 2.97
Au (0.0000, 0.0000, 0.5223)  6 Au 2.76-3.03, 4 Mo 2.83, 1 Ag 2.84
Au (0.5000, 0.5000, 0.2399)  6 Au 2.76-3.03, 4 Ag 2.90, 2 Mo 2.95-2.99

Crystal system: orthorhombic
Mass density in Mg/m³: 14.3
Total magnetic moment in μB per formula unit: 0.0
Excess energy over the best structure of this formula in the dataset in eV/atom: 0.1750

# 11
Here is a geometry-optimized Ag2MoRuAu structure from the Alexandria database. Energies are from PBE.

Cell lengths 5.0484, 5.0484, 4.5365 Å; angles 90.00, 90.00, 90.00 degrees
Last column: nearest neighbours and their distance in Å.
Space group P4/mmm (No. 123)
Symmetry-distinct sites (fractional):
Ag (0.0000, 0.5000, 0.0000)  2 Ru 2.52
Mo (0.0000, 0.0000, 0.5000)  2 Ru 2.27
Ru (0.0000, 0.0000, 0.0000)  2 Mo 2.27, 4 Ag 2.52
Au (0.5000, 0.5000, 0.5000)  8 Ag 3.39, 4 Mo 3.57

Calculated total energy in eV per atom: -4.4670
Crystal system: tetragonal
Mass density in Mg/m³: 8.8
Total magnetic moment in μB per formula unit: 1.3

# 12
Here is a geometry-optimized AgAu3N structure from the Alexandria database. Energies are from PBE.

Cell lengths 5.2008, 5.2008, 5.2008 Å; angles 90.00, 90.00, 90.00 degrees
Last column: nearest neighbours and their distance in Å.
Space group Pm-3m (No. 221)
Symmetry-distinct sites (fractional):
Ag (0.0000, 0.0000, 0.0000)  6 Au 2.60
Au (0.0000, 0.0000, 0.5000)  2 Ag 2.60
N (0.5000, 0.5000, 0.5000)  12 Au 3.68

Crystal system: cubic
Formation energy from raw total energies in eV per atom: 1.81
Mass density in Mg/m³: 8.4
Total magnetic moment in μB per formula unit: 2.7
Excess energy over the best structure of this formula in the dataset in eV/atom: 1.1119

# 13
Here is a geometry-optimized AgAuN3 structure from the Alexandria database. Energies are from PBE.

Cell lengths 4.1369, 4.1369, 4.1369 Å; angles 90.00, 90.00, 90.00 degrees
Last column: nearest neighbours and their distance in Å.
Space group Pm-3m (No. 221)
Symmetry-distinct sites (fractional):
Ag (0.0000, 0.0000, 0.0000)  12 N 2.93
Au (0.5000, 0.5000, 0.5000)  6 N 2.07
N (0.0000, 0.5000, 0.5000)  2 Au 2.07

Crystal system: cubic
Formation energy from raw total energies in eV per atom: 2.42
Mass density in Mg/m³: 8.1
Total magnetic moment in μB per formula unit: 4.2

# 14
Here is a geometry-optimized AgAu3N structure from the Alexandria database. Energies are from PBE.

Cell lengths 4.4241, 4.4241, 4.4241 Å; angles 90.00, 90.00, 90.00 degrees
Last column: nearest neighbours and their distance in Å.
Space group Pm-3m (No. 221)
Symmetry-distinct sites (fractional):
Ag (0.0000, 0.0000, 0.0000)  12 Au 3.13
Au (0.0000, 0.5000, 0.5000)  2 N 2.21
N (0.5000, 0.5000, 0.5000)  6 Au 2.21

Crystal system: cubic
Formation energy from raw total energies in eV per atom: 0.70
Mass density in Mg/m³: 13.7
Total magnetic moment in μB per formula unit: 0.0
Excess energy over the best structure of this formula in the dataset in eV/atom: 0.0000

# 15
Here is a geometry-optimized Ag2AuN2 structure from the Alexandria database. Energies are from PBE.

Cell lengths 4.1631, 4.1652, 13.4491 Å; angles 90.00, 91.31, 90.00 degrees
Last column: nearest neighbours and their distance in Å.
Space group C2/m (No. 12)
Symmetry-distinct sites (fractional):
Ag (0.0112, 0.0000, 0.1522)  4 Au 2.92, 4 Ag 2.94
Au (0.0000, 0.5000, 0.0000)  8 Ag 2.92, 4 Au 2.94
N (0.0032, 0.5000, 0.5414)  1 N 1.11

Crystal system: monoclinic
Formation energy from raw total energies in eV per atom: 0.22
Mass density in Mg/m³: 6.3
Total magnetic moment in μB per formula unit: 0.0

# 16
Here is a geometry-optimized Ag3AuN structure from the Alexandria database. Energies are from PBE.

Cell lengths 4.3707, 4.3707, 4.3707 Å; angles 90.00, 90.00, 90.00 degrees
Last column: nearest neighbours and their distance in Å.
Space group Pm-3m (No. 221)
Symmetry-distinct sites (fractional):
Ag (0.0000, 0.0000, 0.5000)  2 N 2.19
Au (0.5000, 0.5000, 0.5000)  12 Ag 3.09
N (0.0000, 0.0000, 0.0000)  6 Ag 2.19

Crystal system: cubic
Formation energy from raw total energies in eV per atom: 0.58
Mass density in Mg/m³: 10.6
Total magnetic moment in μB per formula unit: 0.0
Excess energy over the best structure of this formula in the dataset in eV/atom: 0.0000

# 17
Here is a geometry-optimized Ag3AuN structure from the Alexandria database. Energies are from PBE.

Cell lengths 5.2548, 5.2548, 5.2548 Å; angles 90.00, 90.00, 90.00 degrees
Last column: nearest neighbours and their distance in Å.
Space group Pm-3m (No. 221)
Symmetry-distinct sites (fractional):
Ag (0.0000, 0.0000, 0.5000)  2 Au 2.63
Au (0.0000, 0.0000, 0.0000)  6 Ag 2.63
N (0.5000, 0.5000, 0.5000)  12 Ag 3.72

Crystal system: cubic
Formation energy from raw total energies in eV per atom: 1.61
Mass density in Mg/m³: 6.1
Total magnetic moment in μB per formula unit: 2.3
Excess energy over the best structure of this formula in the dataset in eV/atom: 1.0312

# 18
Here is a geometry-optimized AgAuN3 structure from the Alexandria database. Energies are from PBE.

Cell lengths 4.1023, 4.1023, 4.1023 Å; angles 90.00, 90.00, 90.00 degrees
Last column: nearest neighbours and their distance in Å.
Space group Pm-3m (No. 221)
Symmetry-distinct sites (fractional):
Ag (0.0000, 0.0000, 0.0000)  6 N 2.05
Au (0.5000, 0.5000, 0.5000)  12 N 2.90
N (0.0000, 0.0000, 0.5000)  2 Ag 2.05

Crystal system: cubic
Formation energy from raw total energies in eV per atom: 2.68
Mass density in Mg/m³: 8.3
Total magnetic moment in μB per formula unit: 4.1

# 19
Here is a geometry-optimized NbAgAuN2 structure from the Alexandria database. Energies are from PBE.

Cell lengths 4.0242, 4.0242, 5.5647 Å; angles 90.00, 90.00, 90.00 degrees
Last column: nearest neighbours and their distance in Å.
Space group P4/mmm (No. 123)
Symmetry-distinct sites (fractional):
Nb (0.0000, 0.0000, 0.0000)  4 N 2.01
Ag (0.5000, 0.5000, 0.5000)  4 Au 2.85
Au (0.0000, 0.0000, 0.5000)  2 Nb 2.78, 4 Ag 2.85
N (0.0000, 0.5000, 0.0000)  2 Nb 2.01

Crystal system: tetragonal
Formation energy from raw total energies in eV per atom: 0.58
Mass density in Mg/m³: 7.8
Total magnetic moment in μB per formula unit: 0.0

# 20
Here is a geometry-optimized AgOsAuN2 structure from the Alexandria database. Energies are from PBE.

Cell lengths 3.9881, 3.9881, 5.4935 Å; angles 90.00, 90.00, 90.00 degrees
Last column: nearest neighbours and their distance in Å.
Space group P4/mmm (No. 123)
Symmetry-distinct sites (fractional):
Ag (0.0000, 0.0000, 0.0000)  4 N 1.99
Os (0.5000, 0.5000, 0.5000)  4 Au 2.82
Au (0.0000, 0.0000, 0.5000)  2 Ag 2.75, 4 Os 2.82
N (0.0000, 0.5000, 0.0000)  2 Ag 1.99

Crystal system: tetragonal
Formation energy from raw total energies in eV per atom: 2.67
Mass density in Mg/m³: 9.9
Total magnetic moment in μB per formula unit: 0.7